[1]
# MnSeIO2 (meta-GGA SCAN, single point on PBEsol structure)
# Formation energy without anion corrections = -0.47 eV per atom
# Crystal system = tetragonal
data_MnSeIO2
_cell_length_a 3.7674
_cell_length_b 3.7674
_cell_length_c 6.3295
_cell_angle_alpha 90.00
_cell_angle_beta 90.00
_cell_angle_gamma 90.00
_symmetry_space_group_name_H-M 'P 4/m m m'
_symmetry_Int_Tables_number 123
_symmetry_space_group_name_Hall '-P 4 2'
loop_
_atom_site_label
_atom_site_fract_x
_atom_site_fract_y
_atom_site_fract_z
Mn1 0.0000 0.0000 0.0000
Se1 0.5000 0.5000 0.5000
I1 0.0000 0.0000 0.5000
O1 0.0000 0.5000 0.0000


[2]
# ScReHg2 (meta-GGA SCAN, single point on PBEsol structure)
# Formation energy = 275 meV per atom
# Crystal system = monoclinic
# Energy above the most stable polymorph in this dataset = 0.093 eV per atom
data_ScReHg2
_cell_length_a 2.9202
_cell_length_b 4.8057
_cell_length_c 5.1669
_cell_angle_alpha 90.00
_cell_angle_beta 91.54
_cell_angle_gamma 90.00
_symmetry_space_group_name_H-M 'P 1 m 1'
_symmetry_Int_Tables_number 6
loop_
_symmetry_equiv_pos_as_xyz
'x,y,z'
'x,-y,z'
loop_
_atom_site_label
_atom_site_fract_x
_atom_site_fract_y
_atom_site_fract_z
Sc1 0.0000 0.0000 0.0000
Re1 0.0922 0.5000 0.7207
Hg1 0.5282 0.0000 0.5144
Hg2 0.5540 0.5000 0.2096


Calculated volume for every record listed, in sequence, given in Å³/cell: 90 72.
DOS at the Fermi energy for every record listed, in sequence, given in states/eV/cell: 4.35 1.80.